(1)
First-principles (PBE) data for HfScC2 after structural relaxation, as listed in the Alexandria database.

a = 3.286 Å, b = 3.286 Å, c = 5.925 Å
α = 73.90°, β = 73.90°, γ = 60.00°
Positions (direct):
Sc 0.671 0.671 0.987
C 0.249 0.249 0.254
C 0.085 0.085 0.745
Hf 0.495 0.495 0.514

Calculated values
DFT formation energy = -0.22 eV per atom
distance to the lowest polymorph of the same formula = 0.0 kJ per mole of atoms
M_tot = 0.0 Bohr magnetons per cell

***

(2)
First-principles (PBE) data for AcYTlCu after structural relaxation, as listed in the Alexandria database.

a = 5.447 Å, b = 5.447 Å, c = 5.447 Å
α = 60.00°, β = 60.00°, γ = 60.00°
Positions (direct):
Y 0.750 0.750 0.750
Cu 0.000 0.000 0.000
Tl 0.500 0.500 0.500
Ac 0.250 0.250 0.250

Calculated values
DFT formation energy = -0.17 eV per atom
M_tot = 0.0 Bohr magnetons per cell

***

(3)
First-principles (PBE) data for SrIrRh after structural relaxation, as listed in the Alexandria database.

a = 4.624 Å, b = 4.624 Å, c = 4.624 Å
α = 60.00°, β = 60.00°, γ = 60.00°
Site moments in Bohr magnetons follow the coordinates.
Positions (direct):
Ir 0.000 0.000 0.000  0.19
Sr 0.750 0.750 0.750  0.00
Rh 0.500 0.500 0.500  0.16

Calculated values
DFT formation energy = 1.26 eV per atom
distance to the lowest polymorph of the same formula = 147.9 kJ per mole of atoms
M_tot = 0.4 Bohr magnetons per cell

***

(4)
First-principles (PBE) data for BaInRh2 after structural relaxation, as listed in the Alexandria database.

a = 5.031 Å, b = 5.031 Å, c = 9.742 Å
α = 75.04°, β = 75.04°, γ = 90.00°
Site moments in Bohr magnetons follow the coordinates.
Positions (direct):
Rh 0.375 0.560 0.750  0.25
Rh 0.310 0.625 0.250  0.25
Rh 0.440 0.125 0.250  0.25
Rh 0.875 0.690 0.750  0.25
Ba 0.000 0.000 0.000  -0.01
Ba 0.750 0.250 0.500  -0.01
In 0.500 0.500 0.000  -0.01
In 0.250 0.750 0.500  -0.01

Calculated values
DFT formation energy = 0.00 eV per atom
M_tot = 1.0 Bohr magnetons per cell

***

(5)
First-principles (PBE) data for BaWAu after structural relaxation, as listed in the Alexandria database.

a = 3.137 Å, b = 3.137 Å, c = 8.128 Å
α = 90.00°, β = 90.00°, γ = 120.00°
Positions (direct):
W 0.667 0.333 0.701
Au 0.000 0.000 0.964
Ba 0.333 0.667 0.335

Calculated values
DFT formation energy = 1.07 eV per atom
distance to the lowest polymorph of the same formula = 30.3 kJ per mole of atoms
M_tot = 0.0 Bohr magnetons per cell

***

(6)
First-principles (PBE) data for Re3NiBi after structural relaxation, as listed in the Alexandria database.

a = 4.934 Å, b = 4.934 Å, c = 4.934 Å
α = 90.00°, β = 90.00°, γ = 90.00°
Site moments in Bohr magnetons follow the coordinates.
Positions (direct):
Re 0.000 0.500 0.000  -0.01
Re 0.500 0.000 0.000  -0.01
Re 0.000 0.000 0.500  0.06
Bi 0.000 0.000 0.000  0.03
Ni 0.500 0.500 0.500  0.74

Calculated values
DFT formation energy = 3.52 eV per atom
distance to the lowest polymorph of the same formula = 172.1 kJ per mole of atoms
M_tot = 0.8 Bohr magnetons per cell

***

Question: The lowest DFT formation energy belongs to which entry?
Answer: HfScC2